The following is a PBE calculation of LaSb3Pd3 after structural relaxation, from the Alexandria database.

The structure in extended XYZ format:
```
14
Lattice="4.118 2.378 5.953 -4.118 2.378 5.953 0.000 -4.755 5.953" Properties=species:S:1:pos:R:3 pbc="T T T"
La 0.000 0.000 2.994
La 0.000 0.000 14.864
Sb -1.243 -2.182 7.285
Sb -2.511 -0.014 10.573
Sb -1.268 2.167 7.285
Sb 1.268 -2.167 10.573
Sb 2.511 0.014 7.285
Sb 1.243 2.182 10.573
Pd -2.904 -0.014 7.324
Pd -1.440 -2.522 10.534
Pd 1.464 -2.509 7.324
Pd -1.464 2.509 10.534
Pd 1.440 2.522 7.324
Pd 2.904 0.014 10.534
```

Its space group is R-3 (148). The energy relative to the lowest polymorph listed for this composition is 0.00 eV/f.u. The total magnetization is 0.00 μB per formula unit.

---

The following is a PBE calculation of Pm2Si4Pd3Pt after structural relaxation, from the Alexandria database.

The structure in extended XYZ format:
```
10
Lattice="4.237 0.000 0.000 0.000 4.237 0.000 0.000 0.000 9.940" Properties=species:S:1:pos:R:3 pbc="T T T"
Pm 0.000 2.119 2.439
Pm 2.119 0.000 7.501
Si 0.000 0.000 0.000
Si 0.000 2.119 6.276
Si 2.119 0.000 3.664
Si 2.119 2.119 0.000
Pd 0.000 2.119 8.714
Pd 2.119 0.000 1.226
Pd 2.119 2.119 4.970
Pt 0.000 0.000 4.970
```

The value obtained for the final energy is -6.23 eV/atom. Its space group is P-4m2 (115). The total magnetization is 0.00 μB per formula unit.

---

The following is a PBE calculation of CaIn2S4 after structural relaxation, from the Alexandria database.

The structure in extended XYZ format:
```
14
Lattice="-3.904 4.007 5.543 3.904 -4.007 5.543 3.904 4.007 -5.543" Properties=species:S:1:pos:R:3 pbc="T T T"
Ca -1.952 2.004 2.771
Ca 1.952 2.004 2.771
In 0.000 0.000 0.000
In 3.904 2.004 -1.532
In 0.000 4.007 0.000
In 0.000 2.004 7.075
S 0.000 0.059 2.627
S 1.828 2.004 -0.025
S 2.076 -2.004 5.518
S 3.904 0.059 2.916
S 0.000 3.949 2.627
S 1.828 6.011 0.025
S 2.076 2.004 5.568
S 3.904 3.949 2.916
```

The value obtained for the final energy is -4.39 eV/atom. Its space group is Imma (74). The total magnetization is 0.00 μB per formula unit.

---

The following is a PBE calculation of BeNbZn2 after structural relaxation, from the Alexandria database.

The structure in extended XYZ format:
```
4
Lattice="3.742 0.000 0.000 0.000 3.742 0.000 0.000 0.000 3.990" Properties=species:S:1:pos:R:3 pbc="T T T"
Be 0.000 0.000 0.000
Nb 1.871 1.871 0.000
Zn 0.000 1.871 1.995
Zn 1.871 0.000 1.995
```

Its space group is P4/mmm (123). Its energy of formation from the pure elements is -86 meV/atom. The total magnetization is 0.00 μB per formula unit.

---

The following is a PBE calculation of Tb5CeNd12 after structural relaxation, from the Alexandria database.

The structure in extended XYZ format:
```
18
Lattice="7.721 -7.732 0.000 7.721 7.732 0.000 0.000 0.000 5.155" Properties=species:S:1:pos:R:3 pbc="T T T"
Tb 0.000 0.000 0.000
Tb 2.577 0.000 2.578
Tb 5.166 0.000 0.000
Tb 10.275 0.000 0.000
Tb 12.865 0.000 2.578
Ce 7.721 0.000 2.578
Nd 2.568 2.553 0.000
Nd 7.721 5.180 2.578
Nd 5.157 2.548 2.578
Nd 2.568 -2.553 0.000
Nd 7.721 2.527 0.000
Nd 5.157 -2.548 2.578
Nd 10.285 2.548 2.578
Nd 7.721 -2.527 0.000
Nd 12.873 2.553 0.000
Nd 10.285 -2.548 2.578
Nd 7.721 -5.180 2.578
Nd 12.873 -2.553 0.000
```

Its space group is Cmmm (65). Its energy of formation from the pure elements is 31 meV/atom. The total magnetization is 1.21 μB per formula unit.

---

The following is a PBE calculation of LiPm2Zn12Ni3 after structural relaxation, from the Alexandria database.

The structure in extended XYZ format:
```
18
Lattice="4.319 2.494 5.646 -4.319 2.494 5.646 0.000 -4.988 5.646" Properties=species:S:1:pos:R:3 pbc="T T T"
Li 0.000 0.000 0.000
Pm 0.000 0.000 6.772
Pm 0.000 0.000 10.165
Zn 0.000 -2.451 5.138
Zn -2.123 1.226 5.138
Zn -2.427 -1.401 8.894
Zn 0.000 -2.803 8.043
Zn -2.427 1.401 8.043
Zn -2.123 -1.226 11.799
Zn 2.123 1.226 5.138
Zn 2.427 -1.401 8.894
Zn 0.000 2.803 8.894
Zn 2.427 1.401 8.043
Zn 2.123 -1.226 11.799
Zn 0.000 2.451 11.799
Ni -4.319 0.000 8.468
Ni -2.160 1.247 2.823
Ni 2.160 1.247 2.823
```

Its space group is R-3m (166). Its energy of formation from the pure elements is 172 meV/atom. The total magnetization is 0.00 μB per formula unit.

---

The following is a PBE calculation of SrHfMoP2 after structural relaxation, from the Alexandria database.

The structure in extended XYZ format:
```
5
Lattice="5.006 0.000 0.000 0.000 5.006 0.000 0.000 0.000 5.901" Properties=species:S:1:pos:R:3 pbc="T T T"
Sr 0.000 0.000 0.000
Hf 0.000 0.000 2.950
Mo 2.503 2.503 0.000
P 0.000 2.503 2.950
P 2.503 0.000 2.950
```

Its space group is P4/mmm (123). Its energy of formation from the pure elements is 1110 meV/atom. The total magnetization is 4.90 μB per formula unit.

---

The following is a PBE calculation of Dy2ScHgC after structural relaxation, from the Alexandria database.

The structure in extended XYZ format:
```
5
Lattice="4.973 0.000 0.000 0.000 4.973 0.000 0.000 0.000 4.441" Properties=species:S:1:pos:R:3 pbc="T T T"
Dy 0.000 2.486 0.000
Dy 2.486 0.000 0.000
Sc 0.000 0.000 2.220
Hg 2.486 2.486 2.220
C 0.000 0.000 0.000
```

Its space group is P4/mmm (123). Its energy of formation from the pure elements is -446 meV/atom. The total magnetization is 0.00 μB per formula unit.

---

The following is a PBE calculation of Rb4PmNb3O12 after structural relaxation, from the Alexandria database.

The structure in extended XYZ format:
```
20
Lattice="-4.247 4.247 4.247 4.247 -4.247 4.247 4.247 4.247 -4.247" Properties=species:S:1:pos:R:3 pbc="T T T"
Rb 2.123 2.123 -2.123
Rb 2.123 -2.123 2.123
Rb -2.123 2.123 2.123
Rb 2.123 2.123 2.123
Pm 0.000 0.000 0.000
Nb 4.247 0.000 0.000
Nb 0.000 4.247 0.000
Nb 0.000 0.000 4.247
O 2.315 0.000 0.000
O 6.178 0.000 0.000
O 4.247 2.123 0.000
O 4.247 0.000 2.123
O 0.000 2.315 0.000
O 0.000 0.000 2.315
O 2.123 4.247 0.000
O 2.123 0.000 4.247
O 0.000 6.178 0.000
O 0.000 0.000 6.178
O 0.000 4.247 2.123
O 0.000 2.123 4.247
```

The value obtained for the final energy is -7.15 eV/atom. Its space group is Im-3m (229). The total magnetization is 2.13 μB per formula unit.

---

The following is a PBE calculation of Nd2SmPb2 after structural relaxation, from the Alexandria database.

The structure in extended XYZ format:
```
10
Lattice="5.260 0.000 0.000 -2.630 4.555 0.000 0.000 0.000 13.336" Properties=species:S:1:pos:R:3 pbc="T T T"
Nd 0.000 0.000 0.000
Nd 0.000 0.000 6.668
Nd 0.000 3.037 3.334
Nd 2.630 1.518 10.002
Sm 0.000 0.000 3.334
Sm 0.000 0.000 10.002
Pb 0.000 3.037 8.311
Pb 0.000 3.037 11.693
Pb 2.630 1.518 1.643
Pb 2.630 1.518 5.025
```

Its space group is P6_3/mmc (194). Its energy of formation from the pure elements is -195 meV/atom. The energy relative to the lowest polymorph listed for this composition is 1.15 eV/f.u. The total magnetization is 0.00 μB per formula unit.

---

The following is a PBE calculation of La14TbPb after structural relaxation, from the Alexandria database.

The structure in extended XYZ format:
```
16
Lattice="10.437 0.000 0.000 0.000 5.192 5.192 0.000 -5.192 5.192" Properties=species:S:1:pos:R:3 pbc="T T T"
La 0.000 0.000 0.000
La 0.000 2.596 7.785
La 0.000 0.000 5.175
La 0.000 -2.596 7.785
La 2.664 -2.646 5.188
La 2.664 2.646 5.188
La 2.661 0.000 7.834
La 2.667 0.000 2.541
La 5.218 -2.594 7.785
La 5.218 2.594 7.785
La 7.769 0.000 2.541
La 7.773 -2.646 5.188
La 7.773 2.646 5.188
La 7.776 0.000 7.834
Tb 5.218 0.000 5.189
Pb 5.218 0.000 10.379
```

Its space group is Amm2 (38). Its energy of formation from the pure elements is -77 meV/atom. The total magnetization is 0.00 μB per formula unit.

---

The following is a PBE calculation of Pm2CrRe2N6 after structural relaxation, from the Alexandria database.

The structure in extended XYZ format:
```
11
Lattice="2.949 1.702 5.395 -2.949 1.702 5.395 0.000 -3.405 5.395" Properties=species:S:1:pos:R:3 pbc="T T T"
Pm 0.000 0.000 3.143
Pm 0.000 0.000 13.043
Cr 0.000 0.000 0.000
Re 0.000 0.000 6.929
Re 0.000 0.000 9.257
N -1.597 -0.922 9.536
N 0.000 -1.845 6.650
N -1.597 0.922 6.650
N 1.597 -0.922 9.536
N 0.000 1.845 9.536
N 1.597 0.922 6.650
```

The value obtained for the final energy is -8.90 eV/atom. Its space group is R-3m (166). The total magnetization is 2.26 μB per formula unit.